Record 1
Below is a relaxed structure of BeAg3Br, with properties calculated at the PBE level.

Cell and atoms, written as POSCAR:
```
BeAg3Br
1.0
-0.3444 -4.6337 -0.3200
4.6446 -0.3414 -0.0547
0.0310 -0.3232 4.6462
Br Ag Be
1 3 1
Cartesian
2.1656 -2.6492 2.1357
0.0155 -0.1616 2.3231
2.3223 -0.1707 -0.0273
-0.1722 -2.3169 -0.1600
0.0000 0.0000 0.0000
```

As for the space-group type: Pm-3m (221).


Record 2
Below is a relaxed structure of BeAgBr, with properties calculated at the PBE level.

Cell and atoms, written as POSCAR:
```
BeAgBr
1.0
3.3382 0.0000 0.0000
-1.6691 2.8910 0.0000
0.0000 0.0000 6.1298
Br Be Ag
1 1 1
Cartesian
0.0000 1.9273 3.4936
1.6691 0.9637 2.1219
0.0000 0.0000 0.5143
```

As for the space-group type: P3m1 (156).


Record 3
Below is a relaxed structure of BeAg2Br, with properties calculated at the PBE level.

Cell and atoms, written as POSCAR:
```
BeAg2Br
1.0
-2.3910 -0.3829 2.1912
2.5782 -0.7576 1.8557
0.6270 6.6612 1.8483
Ag Be Br
2 1 1
Cartesian
0.2805 2.9794 0.8267
0.0331 0.3512 0.0975
0.2504 1.0950 2.4855
0.5639 4.4256 3.4097
```

As for the space-group type: Cmmm (65).


Record 4
Below is a relaxed structure of BeAg2Br, with properties calculated at the PBE level.

Cell and atoms, written as POSCAR:
```
BeAg2Br
1.0
6.6388 0.0033 0.0000
4.5416 4.8422 0.0000
-5.5902 -2.4228 2.6369
Br Ag Be
1 2 1
Cartesian
3.3194 0.0017 1.3184
2.2708 2.4211 1.3184
0.0000 0.0000 0.0000
5.5902 2.4228 0.0000
```

As for the space-group type: I-4m2 (119).


In meV per atom, the formation energy (no corrections) values for the records above are, in order, 436; 31; 276; 481.
In meV per atom, the E above lowest polymorph values for the records above are, in order, 0.0; 0.0; 232.0; 437.5.